No. 1
FeCo2: relaxed, PBE-GGA.

Output
formation enthalpy at 0 K = 0.004 eV/atom
total magnetic moment = 2.04 μB per atom

```
data_FeCo2
_chemical_formula_sum 'Fe4 Co8'
_cell_length_a 8.505
_cell_length_b 3.982
_cell_length_c 4.903
_cell_angle_alpha 90.00
_cell_angle_beta 125.12
_cell_angle_gamma 90.00
_symmetry_space_group_name_H-M 'C 1 2/m 1'
_symmetry_Int_Tables_number 12
loop_
_symmetry_equiv_pos_as_xyz
'x,y,z'
'-x,-y,-z'
'-x,y,-z'
'x,-y,z'
'x+1/2,y+1/2,z'
'-x+1/2,-y+1/2,-z'
'-x+1/2,y+1/2,-z'
'x+1/2,-y+1/2,z'
loop_
_atom_site_label
_atom_site_type_symbol
_atom_site_fract_x
_atom_site_fract_y
_atom_site_fract_z
Fe1 Fe 0.166 0.000 0.089
Co1 Co 0.008 0.500 0.756
Co2 Co 0.168 0.000 0.589
```

No. 2
NpCu2Ge2: relaxed, PBE-GGA.

Output
formation enthalpy at 0 K = -0.149 eV/atom
total magnetic moment = 0.79 μB per atom

```
data_NpCu2Ge2
_chemical_formula_sum 'Np2 Cu4 Ge4'
_cell_length_a 4.152
_cell_length_b 4.152
_cell_length_c 9.979
_cell_angle_alpha 90.00
_cell_angle_beta 90.00
_cell_angle_gamma 90.00
_symmetry_space_group_name_H-M 'P 4/n m m'
_symmetry_Int_Tables_number 129
loop_
_symmetry_equiv_pos_as_xyz
'x,y,z'
'-x,-y,-z'
'-y+1/2,x,z'
'y+1/2,-x,-z'
'-x+1/2,-y+1/2,z'
'x+1/2,y+1/2,-z'
'y,-x+1/2,z'
'-y,x+1/2,-z'
'x+1/2,-y,-z'
'-x+1/2,y,z'
'-y,-x,-z'
'y,x,z'
'-x,y+1/2,-z'
'x,-y+1/2,z'
'y+1/2,x+1/2,-z'
'-y+1/2,-x+1/2,z'
loop_
_atom_site_label
_atom_site_type_symbol
_atom_site_fract_x
_atom_site_fract_y
_atom_site_fract_z
Np1 Np 0.250 0.250 0.248
Cu1 Cu 0.250 0.250 0.630
Cu2 Cu 0.250 0.750 0.000
Ge1 Ge 0.250 0.250 0.865
Ge2 Ge 0.250 0.750 0.500
```

No. 3
Pr3Sm2Er6Pu: relaxed, PBE-GGA.

Output
formation enthalpy at 0 K = 0.044 eV/atom
total magnetic moment = 0.54 μB per atom

```
data_Pr3Sm2Er6Pu
_chemical_formula_sum 'Pr6 Sm4 Er12 Pu2'
_cell_length_a 6.198
_cell_length_b 10.739
_cell_length_c 11.706
_cell_angle_alpha 90.00
_cell_angle_beta 100.18
_cell_angle_gamma 90.00
_symmetry_space_group_name_H-M 'C 1 2/m 1'
_symmetry_Int_Tables_number 12
loop_
_symmetry_equiv_pos_as_xyz
'x,y,z'
'-x,-y,-z'
'-x,y,-z'
'x,-y,z'
'x+1/2,y+1/2,z'
'-x+1/2,-y+1/2,-z'
'-x+1/2,y+1/2,-z'
'x+1/2,-y+1/2,z'
loop_
_atom_site_label
_atom_site_type_symbol
_atom_site_fract_x
_atom_site_fract_y
_atom_site_fract_z
Pr1 Pr 0.000 0.000 0.000
Pr2 Pr 0.000 0.333 0.000
Sm1 Sm 0.000 0.167 0.500
Er1 Er 0.246 0.336 0.745
Er2 Er 0.247 0.500 0.255
Pu1 Pu 0.000 0.500 0.500
```

No. 4
CaIrN2: relaxed, PBE-GGA.

Output
total magnetic moment = 0.00 μB per atom
formation energy without anion corrections = -0.82 eV per formula unit
E above lowest polymorph = 0.0 kJ/mol of atoms

```
data_CaIrN2
_chemical_formula_sum 'Ca3 Ir3 N6'
_cell_length_a 3.3001
_cell_length_b 3.3001
_cell_length_c 15.0077
_cell_angle_alpha 90.00
_cell_angle_beta 90.00
_cell_angle_gamma 120.00
_symmetry_space_group_name_H-M 'R -3 m'
_symmetry_Int_Tables_number 166
_symmetry_space_group_name_Hall '-R 3 2"'
loop_
_atom_site_label
_atom_site_type_symbol
_atom_site_fract_x
_atom_site_fract_y
_atom_site_fract_z
Ca1 Ca 0.0000 0.0000 0.0000
Ir1 Ir 0.0000 0.0000 0.5000
N1 N 0.0000 0.0000 0.2309
```

No. 5
PuTiTcMo: relaxed, PBE-GGA.

Output
formation enthalpy at 0 K = -0.075 eV/atom
total magnetic moment = 0.96 μB per atom

```
data_PuTiTcMo
_chemical_formula_sum 'Pu4 Ti4 Tc4 Mo4'
_cell_length_a 6.473
_cell_length_b 6.473
_cell_length_c 6.473
_cell_angle_alpha 90.00
_cell_angle_beta 90.00
_cell_angle_gamma 90.00
_symmetry_space_group_name_H-M 'F -4 3 m'
_symmetry_Int_Tables_number 216
_symmetry_space_group_name_Hall 'F -4 2 3'
loop_
_atom_site_label
_atom_site_type_symbol
_atom_site_fract_x
_atom_site_fract_y
_atom_site_fract_z
Pu1 Pu 0.000 0.000 0.000
Ti1 Ti 0.000 0.000 0.500
Tc1 Tc 0.250 0.250 0.750
Mo1 Mo 0.250 0.250 0.250
```

No. 6
NaCaSCl2: relaxed, PBE-GGA.

Output
total magnetic moment = 0.20 μB per atom
formation energy without anion corrections = -5.40 eV per formula unit
E above lowest polymorph = 28.4 kJ/mol of atoms

```
data_NaCaSCl2
_chemical_formula_sum 'Na1 Ca1 S1 Cl2'
_cell_length_a 4.933
_cell_length_b 4.933
_cell_length_c 5.260
_cell_angle_alpha 90.00
_cell_angle_beta 90.00
_cell_angle_gamma 90.00
_symmetry_space_group_name_H-M 'P 4/m m m'
_symmetry_Int_Tables_number 123
_symmetry_space_group_name_Hall '-P 4 2'
loop_
_atom_site_label
_atom_site_type_symbol
_atom_site_fract_x
_atom_site_fract_y
_atom_site_fract_z
Na1 Na 0.000 0.000 0.000
Ca1 Ca 0.500 0.500 0.500
S1 S 0.000 0.000 0.500
Cl1 Cl 0.000 0.500 0.000
```